1.
Below is TbPaAl2 after structural relaxation, with properties calculated at the PBE level.

abc: 4.251 4.648 4.648
angles: 90.00 90.00 90.00
Sites, in units of the cell vectors:
Pa  0.500  0.000  0.000
Tb  0.500  0.500  0.500
Al  0.000  0.000  0.500
Al  0.000  0.500  0.000

Calculated values
M_tot in Bohr magnetons per cell: 0.0
Formation enthalpy at 0 K in kJ/mol of atoms: -13.68
Offset from the most stable computed form in meV per atom: 97.9
N(E_F) in states/eV/cell: 5.15
E_tot in eV per atom: -5.5446



2.
Below is TbPaAl2 after structural relaxation, with properties calculated at the PBE level.

abc: 5.094 5.094 5.094
angles: 60.00 60.00 60.00
Sites, in units of the cell vectors:
Pa  0.500  0.500  0.500
Tb  0.000  0.000  0.000
Al  0.250  0.250  0.250
Al  0.750  0.750  0.750

Calculated values
M_tot in Bohr magnetons per cell: 0.6
Formation enthalpy at 0 K in kJ/mol of atoms: -10.48
Offset from the most stable computed form in meV per atom: 131.0
N(E_F) in states/eV/cell: 6.54
E_tot in eV per atom: -5.5115



3.
Below is TbPaAl2 after structural relaxation, with properties calculated at the PBE level.

abc: 3.206 3.206 10.540
angles: 81.25 81.25 60.00
Sites, in units of the cell vectors:
Pa  0.000  0.000  0.000
Tb  0.500  0.500  0.500
Al  0.750  0.750  0.751
Al  0.250  0.250  0.249

Calculated values
M_tot in Bohr magnetons per cell: 0.0
Formation enthalpy at 0 K in kJ/mol of atoms: -3.22
Offset from the most stable computed form in meV per atom: 206.3
N(E_F) in states/eV/cell: 6.03
E_tot in eV per atom: -5.4362



4.
Below is TbPaAl after structural relaxation, with properties calculated at the PBE level.

abc: 5.439 5.439 6.029
angles: 90.00 90.00 90.00
Sites, in units of the cell vectors:
Pa  0.500  0.500  0.500
Pa  0.000  0.000  0.500
Al  0.500  0.500  0.000
Al  0.000  0.000  0.000
Tb  0.500  0.000  0.838
Tb  0.000  0.500  0.162

Calculated values
M_tot in Bohr magnetons per cell: 2.7
Formation enthalpy at 0 K in kJ/mol of atoms: 67.95
Offset from the most stable computed form in meV per atom: 752.6
N(E_F) in states/eV/cell: 13.85
E_tot in eV per atom: -5.2520



5.
Below is TbPaAl after structural relaxation, with properties calculated at the PBE level.

abc: 3.200 3.200 7.486
angles: 102.34 102.34 90.00
Sites, in units of the cell vectors:
Pa  0.319  0.319  0.638
Tb  0.012  0.012  0.024
Al  0.669  0.669  0.337

Calculated values
M_tot in Bohr magnetons per cell: 0.0
Formation enthalpy at 0 K in kJ/mol of atoms: -4.67
Offset from the most stable computed form in meV per atom: 0.0
N(E_F) in states/eV/cell: 5.16
E_tot in eV per atom: -6.0047



6.
Below is TbPa2Al9 after structural relaxation, with properties calculated at the PBE level.

abc: 4.293 4.293 12.900
angles: 90.00 90.00 90.00
Sites, in units of the cell vectors:
Tb  0.000  0.000  0.000
Pa  0.000  0.000  0.333
Pa  0.000  0.000  0.667
Al  0.500  0.500  0.000
Al  0.500  0.500  0.333
Al  0.500  0.500  0.667
Al  0.500  0.000  0.166
Al  0.500  0.000  0.500
Al  0.500  0.000  0.834
Al  0.000  0.500  0.166
Al  0.000  0.500  0.500
Al  0.000  0.500  0.834

Calculated values
M_tot in Bohr magnetons per cell: 0.0
Formation enthalpy at 0 K in kJ/mol of atoms: -29.86
N(E_F) in states/eV/cell: 11.04
E_tot in eV per atom: -5.0849



7.
Below is TbPa2Al after structural relaxation, with properties calculated at the PBE level.

abc: 3.143 3.143 11.645
angles: 82.24 82.24 60.00
Sites, in units of the cell vectors:
Pa  0.092  0.092  0.725
Pa  0.908  0.908  0.275
Tb  0.000  0.000  0.000
Al  0.500  0.500  0.500

Calculated values
M_tot in Bohr magnetons per cell: 0.0
Formation enthalpy at 0 K in kJ/mol of atoms: 20.36
Offset from the most stable computed form in meV per atom: 224.5
N(E_F) in states/eV/cell: 7.69
E_tot in eV per atom: -6.6301



8.
Below is TbPaAl2 after structural relaxation, with properties calculated at the PBE level.

abc: 3.250 3.250 8.549
angles: 90.00 90.00 90.00
Sites, in units of the cell vectors:
Pa  0.500  0.500  0.000
Tb  0.500  0.500  0.500
Al  0.000  0.000  0.752
Al  0.000  0.000  0.248

Calculated values
M_tot in Bohr magnetons per cell: 0.0
Formation enthalpy at 0 K in kJ/mol of atoms: -23.12
Offset from the most stable computed form in meV per atom: 0.0
N(E_F) in states/eV/cell: 4.32
E_tot in eV per atom: -5.6425



Repeat the third record exactly.
Below is TbPaAl2 after structural relaxation, with properties calculated at the PBE level.

abc: 3.206 3.206 10.540
angles: 81.25 81.25 60.00
Sites, in units of the cell vectors:
Pa  0.000  0.000  0.000
Tb  0.500  0.500  0.500
Al  0.750  0.750  0.751
Al  0.250  0.250  0.249

Calculated values
M_tot in Bohr magnetons per cell: 0.0
Formation enthalpy at 0 K in kJ/mol of atoms: -3.22
Offset from the most stable computed form in meV per atom: 206.3
N(E_F) in states/eV/cell: 6.03
E_tot in eV per atom: -5.4362



Question: The highest N(E_F) belongs to which entry?
Answer: number 4



Repeat the second record exactly.
Below is TbPaAl2 after structural relaxation, with properties calculated at the PBE level.

abc: 5.094 5.094 5.094
angles: 60.00 60.00 60.00
Sites, in units of the cell vectors:
Pa  0.500  0.500  0.500
Tb  0.000  0.000  0.000
Al  0.250  0.250  0.250
Al  0.750  0.750  0.750

Calculated values
M_tot in Bohr magnetons per cell: 0.6
Formation enthalpy at 0 K in kJ/mol of atoms: -10.48
Offset from the most stable computed form in meV per atom: 131.0
N(E_F) in states/eV/cell: 6.54
E_tot in eV per atom: -5.5115